w:
Density functional theory data (PBE-GGA) for a relaxed structure of KTbCoTe3.

abc: 9.8802 4.2406 10.1671
angles: 90.00 110.11 90.00
Closest atoms and distances in Å follow each position.
Positions (direct):
K  0.2077  0.2500  0.2384  7 Te 3.51-3.72
K  0.7923  0.7500  0.7616  7 Te 3.51-3.72
Tb  0.3257  0.7500  0.8584  6 Te 3.06-3.15
Tb  0.6743  0.2500  0.1416  6 Te 3.06-3.15
Co  0.0758  0.2500  0.5877  4 Te 2.50-2.60
Co  0.9242  0.7500  0.4123  4 Te 2.50-2.60
Te  0.0995  0.2500  0.8500  1 Co 2.60
Te  0.1914  0.7500  0.5294  3 Co 2.50-2.57
Te  0.4636  0.7500  0.1784  3 Tb 3.07-3.08
Te  0.5364  0.2500  0.8216  3 Tb 3.07-3.08
Te  0.8086  0.2500  0.4706  3 Co 2.50-2.57
Te  0.9005  0.7500  0.1500  1 Co 2.60

Magnetization in μB per atom: 0.312
Symmetry: No. 11


x:
Density functional theory data (PBE-GGA) for a relaxed structure of KTbCoTe3.

abc: 8.3126 8.3126 11.4225
angles: 90.00 90.00 150.24
Closest atoms and distances in Å follow each position.
Positions (direct):
K  0.2487  0.7513  0.7500  6 Te 3.56-3.59
K  0.7513  0.2487  0.2500  6 Te 3.56-3.59
Tb  0.5000  0.5000  0.0000  6 Te 3.07
Tb  0.5000  0.5000  0.5000  6 Te 3.07
Co  0.0273  0.9727  0.2500  4 Te 2.59-2.64
Co  0.9727  0.0273  0.7500  4 Te 2.59-2.64
Te  0.1271  0.8729  0.0723  1 Co 2.59
Te  0.1271  0.8729  0.4277  1 Co 2.59
Te  0.4305  0.5695  0.2500  2 Co 2.64
Te  0.5695  0.4305  0.7500  2 Co 2.64
Te  0.8729  0.1271  0.5723  1 Co 2.59
Te  0.8729  0.1271  0.9277  1 Co 2.59

Magnetization in μB per atom: 0.440
Symmetry: No. 63


y:
Density functional theory data (PBE-GGA) for a relaxed structure of KTbCoTe3.

abc: 16.3534 4.2273 11.4669
angles: 90.00 90.00 90.00
Closest atoms and distances in Å follow each position.
Positions (direct):
K  0.2321  0.2500  0.0195  6 Te 3.48-3.62
K  0.2679  0.7500  0.5195  6 Te 3.48-3.62
K  0.7321  0.2500  0.4805  6 Te 3.48-3.62
K  0.7679  0.7500  0.9805  6 Te 3.48-3.62
Tb  0.0225  0.2500  0.3433  6 Te 3.04-3.13
Tb  0.4775  0.7500  0.8433  6 Te 3.04-3.13
Tb  0.5225  0.2500  0.1567  6 Te 3.04-3.13
Tb  0.9775  0.7500  0.6567  6 Te 3.04-3.13
Co  0.0104  0.7500  0.0858  4 Te 2.50-2.60
Co  0.4896  0.2500  0.5858  4 Te 2.50-2.60
Co  0.5104  0.7500  0.4142  4 Te 2.50-2.60
Co  0.9896  0.2500  0.9142  4 Te 2.50-2.60
Te  0.0772  0.7500  0.8897  3 Co 2.50-2.57
Te  0.1042  0.2500  0.5818  3 Tb 3.04-3.08
Te  0.1327  0.7500  0.2312  1 Co 2.60
Te  0.3673  0.2500  0.7312  1 Co 2.60
Te  0.3958  0.7500  0.0818  3 Tb 3.04-3.08
Te  0.4228  0.2500  0.3897  3 Co 2.50-2.57
Te  0.5772  0.7500  0.6103  3 Co 2.50-2.57
Te  0.6042  0.2500  0.9182  3 Tb 3.04-3.08
Te  0.6327  0.7500  0.2688  1 Co 2.60
Te  0.8673  0.2500  0.7688  1 Co 2.60
Te  0.8958  0.7500  0.4182  3 Tb 3.04-3.08
Te  0.9228  0.2500  0.1103  3 Co 2.50-2.57

Magnetization in μB per atom: 0.326
Symmetry: No. 62


w comes first in stability; the runner-up is 0.6 kJ/mol of atoms higher.